Entry from the Alexandria database: an optimized crystal structure of Li5NdPb6 (PBE).

## Properties
For the density of states at the Fermi level, the calculation gives 6.286 states/eV/f.u. The value obtained for the total magnetization is 0.000 μB per atom. Its space group is Cmmm (65). The formation energy is -0.30 eV/atom.

Lattice parameters (Å, degrees): 5.0996 7.2583 8.2971 90.00 72.10 90.00
Last column: nearest neighbours and their distance in Å.
Element x y z (fractional)
Pb (0.8254, 0.7410, 0.3491)  7 Li 3.00-3.26, 1 Nd 3.34
Pb (0.5000, 0.7210, 0.0000)  6 Li 3.01-3.27, 1 Pb 3.21, 2 Nd 3.26
Pb (0.1746, 0.7410, 0.6509)  7 Li 3.00-3.26, 1 Nd 3.34
Pb (0.8254, 0.2590, 0.3491)  7 Li 3.00-3.26, 1 Nd 3.34
Pb (0.5000, 0.2790, 0.0000)  6 Li 3.01-3.27, 1 Pb 3.21, 2 Nd 3.26
Pb (0.1746, 0.2590, 0.6509)  7 Li 3.00-3.26, 1 Nd 3.34
Li (0.3371, 0.0000, 0.3259)  8 Pb 3.17-3.27
Li (0.6709, 0.5000, 0.6582)  8 Pb 3.00-3.14
Li (0.0000, 0.5000, 0.0000)  8 Pb 3.01-3.26
Li (0.6629, 0.0000, 0.6741)  8 Pb 3.17-3.27
Li (0.3291, 0.5000, 0.3418)  8 Pb 3.00-3.14
Nd (0.0000, 0.0000, 0.0000)  8 Pb 3.26-3.34, 6 Li 3.62-3.63



Entry from the Alexandria database: an optimized crystal structure of NdDy3C2 (PBE).

## Properties
For the density of states at the Fermi level, the calculation gives 4.999 states/eV/f.u. The value obtained for the total magnetization is 0.108 μB per atom. Its space group is C2/m (12). The formation energy is -0.23 eV/atom.

Lattice parameters (Å, degrees): 13.2236 13.2235 7.5317 28.73 28.73 31.76
Last column: nearest neighbours and their distance in Å.
Element x y z (fractional)
C (0.0000, 0.5000, 0.0000)  4 Dy 2.47, 2 Nd 2.56
C (0.5000, 0.0000, 0.0000)  4 Dy 2.47, 2 Nd 2.56
C (0.0000, 0.0000, 0.0000)  4 Dy 2.47, 2 Nd 2.56
C (0.5000, 0.5000, 0.0000)  6 Dy 2.49
Nd (0.2447, 0.2447, 0.2564)  3 C 2.56
Nd (0.7553, 0.7553, 0.7436)  3 C 2.56
Dy (0.7655, 0.2621, 0.7335)  3 C 2.47-2.49
Dy (0.7379, 0.2345, 0.2665)  3 C 2.47-2.49
Dy (0.2621, 0.7655, 0.7335)  3 C 2.47-2.49
Dy (0.7379, 0.7379, 0.2596)  3 C 2.47-2.49
Dy (0.2345, 0.7379, 0.2665)  3 C 2.47-2.49
Dy (0.2621, 0.2621, 0.7404)  3 C 2.47-2.49



Entry from the Alexandria database: an optimized crystal structure of Li2Te3Se4 (PBE).

## Properties
For the density of states at the Fermi level, the calculation gives 1.860 states/eV/f.u. The value obtained for the uncorrected formation energy is -0.364 eV per atom. The value obtained for the total magnetization is 0.000 μB per atom. Its space group is C2/c (15).

Lattice parameters (Å, degrees): 5.8512 10.1538 10.1538 65.59 106.33 106.33
Last column: nearest neighbours and their distance in Å.
Element x y z (fractional)
Se (0.4220, 0.5562, 0.7899)  3 Li 2.71-3.02, 3 Te 2.80-2.92
Se (0.9220, 0.7899, 0.5562)  3 Li 2.71-3.02, 3 Te 2.80-2.92
Se (0.3994, 0.0205, 0.2707)  2 Li 2.66-2.81, 3 Te 2.75-2.93
Se (0.5780, 0.4438, 0.2101)  3 Li 2.71-3.02, 3 Te 2.80-2.92
Se (0.8994, 0.2707, 0.0205)  2 Li 2.66-2.81, 3 Te 2.75-2.93
Se (0.6006, 0.9795, 0.7293)  2 Li 2.66-2.81, 3 Te 2.75-2.93
Se (0.1006, 0.7293, 0.9795)  2 Li 2.66-2.81, 3 Te 2.75-2.93
Se (0.0780, 0.2101, 0.4438)  3 Li 2.71-3.02, 3 Te 2.80-2.92
Li (0.4509, 0.8174, 0.5612)  4 Se 2.66-2.86
Li (0.9509, 0.5612, 0.8174)  4 Se 2.66-2.86
Li (0.0491, 0.4388, 0.1826)  4 Se 2.66-2.86
Li (0.5491, 0.1826, 0.4388)  4 Se 2.66-2.86
Te (0.7500, 0.5368, 0.4632)  2 Se 2.92, 2 Te 3.04
Te (0.9060, 0.0282, 0.2772)  5 Se 2.75-2.93
Te (0.4060, 0.2772, 0.0282)  5 Se 2.75-2.93
Te (0.5940, 0.7228, 0.9718)  5 Se 2.75-2.93
Te (0.0940, 0.9718, 0.7228)  5 Se 2.75-2.93
Te (0.2500, 0.4632, 0.5368)  2 Se 2.92, 2 Te 3.04



Entry from the Alexandria database: an optimized crystal structure of Ca4PmMg5 (PBE).

## Properties
For the density of states at the Fermi level, the calculation gives 11.343 states/eV/f.u. The value obtained for the total magnetization is 0.017 μB per atom. Its space group is P4/mmm (123). The formation energy is -0.08 eV/atom.

Lattice parameters (Å, degrees): 3.9238 3.9238 19.9555 90.00 90.00 90.00
Last column: nearest neighbours and their distance in Å.
Element x y z (fractional)
Mg (0.5000, 0.5000, 0.5000)  8 Ca 3.44
Mg (0.5000, 0.5000, 0.0954)  4 Pm 3.36, 4 Ca 3.43
Mg (0.5000, 0.5000, 0.2975)  8 Ca 3.43
Mg (0.5000, 0.5000, 0.7025)  8 Ca 3.43
Mg (0.5000, 0.5000, 0.9046)  4 Pm 3.36, 4 Ca 3.43
Ca (0.0000, 0.0000, 0.8036)  8 Mg 3.43
Ca (0.0000, 0.0000, 0.3985)  8 Mg 3.43-3.44
Ca (0.0000, 0.0000, 0.1964)  8 Mg 3.43
Ca (0.0000, 0.0000, 0.6015)  8 Mg 3.43-3.44
Pm (0.0000, 0.0000, 0.0000)  8 Mg 3.36



Entry from the Alexandria database: an optimized crystal structure of HgSbTe2Mo (PBE).

## Properties
For the density of states at the Fermi level, the calculation gives 5.081 states/eV/f.u. The value obtained for the uncorrected formation energy is 1.360 eV per atom. The value obtained for the total magnetization is 0.633 μB per atom. Its space group is P4/mmm (123).

Lattice parameters (Å, degrees): 5.5834 5.5834 5.4853 90.00 90.00 90.00
Last column: nearest neighbours and their distance in Å.
Element x y z (fractional)
Sb (0.0000, 0.0000, 0.5000)  2 Hg 2.74
Hg (0.0000, 0.0000, 0.0000)  2 Sb 2.74, 4 Te 2.79
Te (0.5000, 0.0000, 0.0000)  2 Hg 2.79
Te (0.0000, 0.5000, 0.0000)  2 Hg 2.79
Mo (0.5000, 0.5000, 0.5000)  8 Te 3.91, 4 Sb 3.95



Entry from the Alexandria database: an optimized crystal structure of Cd2FeOs (PBE).

## Properties
For the density of states at the Fermi level, the calculation gives 3.265 states/eV/f.u. The value obtained for the total magnetization is 0.760 μB per atom. Its space group is P2/m (10). The formation energy is 0.58 eV/atom.

Lattice parameters (Å, degrees): 4.6516 2.7222 5.3161 79.90 90.00 90.00
Last column: nearest neighbours and their distance in Å.
Element x y z (fractional)
Cd (0.0000, 0.0282, 0.0043)  4 Cd 2.72-2.78, 2 Fe 2.79, 2 Os 2.86
Cd (0.0000, 0.4718, 0.4957)  4 Cd 2.72-2.78, 2 Fe 2.79, 2 Os 2.86
Fe (0.5000, 0.2500, 0.2500)  2 Fe 2.72, 2 Os 2.77, 4 Cd 2.79
Os (0.5000, 0.7500, 0.7500)  2 Os 2.72, 2 Fe 2.77, 4 Cd 2.86



Entry from the Alexandria database: an optimized crystal structure of SmPd3O6 (PBE).

## Properties
For the density of states at the Fermi level, the calculation gives 3.707 states/eV/f.u. The value obtained for the uncorrected formation energy is -1.170 eV per atom. The value obtained for the total magnetization is 0.000 μB per atom. Its space group is Cmmm (65).

Lattice parameters (Å, degrees): 3.4903 6.2421 6.2421 109.77 90.00 90.00
Last column: nearest neighbours and their distance in Å.
Element x y z (fractional)
Pd (0.5000, 0.0000, 0.5000)  6 O 2.04-2.15
Pd (0.0000, 0.0000, 0.0000)  4 O 2.00
Pd (0.5000, 0.5000, 0.0000)  6 O 2.04-2.15
O (0.0000, 0.3379, 0.0766)  3 Pd 2.00-2.15
O (0.0000, 0.9234, 0.6621)  3 Pd 2.00-2.15
O (0.0000, 0.0766, 0.3379)  3 Pd 2.00-2.15
O (0.5000, 0.6557, 0.3443)  2 Pd 2.04
O (0.0000, 0.6621, 0.9234)  3 Pd 2.00-2.15
O (0.5000, 0.3443, 0.6557)  2 Pd 2.04
Sm (0.0000, 0.5000, 0.5000)  8 O 2.36-2.49



Entry from the Alexandria database: an optimized crystal structure of Ta2Fe2Tc (PBE).

## Properties
For the density of states at the Fermi level, the calculation gives 3.622 states/eV/f.u. The value obtained for the total magnetization is 0.000 μB per atom. Its space group is P4/mbm (127). The formation energy is 0.18 eV/atom.

Lattice parameters (Å, degrees): 7.1441 7.1441 2.8909 90.00 90.00 90.00
Last column: nearest neighbours and their distance in Å.
Element x y z (fractional)
Tc (0.0000, 0.0000, 0.0000)  4 Ta 2.70, 2 Tc 2.89
Tc (0.5000, 0.5000, 0.0000)  4 Ta 2.70, 2 Tc 2.89
Ta (0.6565, 0.1565, 0.0000)  6 Fe 2.49-2.58, 2 Tc 2.70
Ta (0.8435, 0.6565, 0.0000)  6 Fe 2.49-2.58, 2 Tc 2.70
Ta (0.1565, 0.3435, 0.0000)  6 Fe 2.49-2.58, 2 Tc 2.70
Ta (0.3435, 0.8435, 0.0000)  6 Fe 2.49-2.58, 2 Tc 2.70
Fe (0.3576, 0.1424, 0.5000)  6 Ta 2.49-2.58
Fe (0.1424, 0.6424, 0.5000)  6 Ta 2.49-2.58
Fe (0.6424, 0.8576, 0.5000)  6 Ta 2.49-2.58
Fe (0.8576, 0.3576, 0.5000)  6 Ta 2.49-2.58



Entry from the Alexandria database: an optimized crystal structure of InHO2 (PBE).

## Properties
The value obtained for the total magnetization is 0.000 μB per atom. Its space group is P2_13 (198).

Lattice parameters (Å, degrees): 5.4087 5.4087 5.4087 90.00 90.00 90.00
Last column: nearest neighbours and their distance in Å.
Element x y z (fractional)
O (0.6328, 0.6328, 0.6328)  1 H 1.45
O (0.1328, 0.8672, 0.3672)  1 H 1.45
O (0.8649, 0.1351, 0.6351)  1 H 1.06
O (0.3649, 0.3649, 0.3649)  1 H 1.06
O (0.1351, 0.6351, 0.8649)  1 H 1.06
O (0.3672, 0.1328, 0.8672)  1 H 1.45
O (0.8672, 0.3672, 0.1328)  1 H 1.45
O (0.6351, 0.8649, 0.1351)  1 H 1.06
H (0.9782, 0.0218, 0.5218)  1 O 1.06
H (0.5218, 0.9782, 0.0218)  1 O 1.06
H (0.0218, 0.5218, 0.9782)  1 O 1.06
H (0.4782, 0.4782, 0.4782)  1 O 1.06
In (0.5097, 0.4903, 0.9903)  6 O 2.19-2.28
In (0.9903, 0.5097, 0.4903)  6 O 2.19-2.28
In (0.4903, 0.9903, 0.5097)  6 O 2.19-2.28
In (0.0097, 0.0097, 0.0097)  6 O 2.19-2.28



Entry from the Alexandria database: an optimized crystal structure of ErSiOs (PBE).

## Properties
For the density of states at the Fermi level, the calculation gives 1.491 states/eV/f.u. The value obtained for the uncorrected formation energy is -0.191 eV per atom. The value obtained for the total magnetization is 0.000 μB per atom. Its space group is Cmcm (63).

Lattice parameters (Å, degrees): 5.0876 3.2284 7.3620 77.33 90.00 90.00
Last column: nearest neighbours and their distance in Å.
Element x y z (fractional)
Os (0.5000, 0.0000, 0.0000)  2 Si 2.46, 2 Os 2.54
Os (0.0000, 0.0000, 0.0000)  2 Si 2.46, 2 Os 2.54
Si (0.2500, 0.1467, 0.7066)  2 Os 2.46
Si (0.7500, 0.8533, 0.2934)  2 Os 2.46
Er (0.7500, 0.6522, 0.6957)  5 Si 2.89-3.01, 4 Os 3.00, 2 Er 3.23
Er (0.2500, 0.3478, 0.3043)  5 Si 2.89-3.01, 4 Os 3.00, 2 Er 3.23



Entry from the Alexandria database: an optimized crystal structure of ZrCr2Br (PBE).

## Properties
For the density of states at the Fermi level, the calculation gives 3.633 states/eV/f.u. The value obtained for the uncorrected formation energy is 0.709 eV per atom. The value obtained for the total magnetization is 0.000 μB per atom. Its space group is I4/mmm (139).

Lattice parameters (Å, degrees): 5.4496 5.4496 5.4496 140.65 140.65 56.86
Last column: nearest neighbours and their distance in Å.
Element x y z (fractional)
Cr (0.0000, 0.0000, 0.0000)  4 Cr 2.59
Cr (0.5000, 0.5000, 0.0000)  4 Cr 2.59
Br (0.7500, 0.2500, 0.5000)  4 Zr 2.59
Zr (0.2500, 0.7500, 0.5000)  4 Br 2.59



Entry from the Alexandria database: an optimized crystal structure of RbAlSCl2 (PBE).

## Properties
For the density of states at the Fermi level, the calculation gives 7.291 states/eV/f.u. The value obtained for the uncorrected formation energy is 0.136 eV per atom. The value obtained for the total magnetization is 0.413 μB per atom. Its space group is P4/mmm (123).

Lattice parameters (Å, degrees): 6.1284 6.1284 5.9909 90.00 90.00 90.00
Last column: nearest neighbours and their distance in Å.
Element x y z (fractional)
Cl (0.5000, 0.0000, 0.0000)  2 Rb 3.06
Cl (0.0000, 0.5000, 0.0000)  2 Rb 3.06
S (0.0000, 0.0000, 0.5000)  2 Rb 3.00
Al (0.5000, 0.5000, 0.5000)  8 Cl 4.29, 4 S 4.33
Rb (0.0000, 0.0000, 0.0000)  2 S 3.00, 4 Cl 3.06



In eV/atom, the E values for the records above are, in order, -3.352; -6.395; -3.386; -2.155; -2.948; -4.801; -6.175; -10.016; -5.359; -7.262; -6.658; -2.370.